The following is a PBE-GGA calculation of an optimized crystal structure of TaCu2Ge, from Alexandria.

```
TaCu2Ge
1.0
-3.4572 3.4572 2.6075
3.4572 -3.4572 2.6075
3.4572 3.4572 -2.6075
Ta Cu Ge
2 4 2
direct
0.0000 0.0000 0.0000
0.7500 0.2500 0.5000
0.1496 0.6250 0.0246
0.3750 0.3996 0.5246
0.6004 0.1250 0.9754
0.8750 0.8504 0.4754
0.2500 0.7500 0.5000
0.5000 0.5000 0.0000
```

Results
**Formation energy**: 314 meV per atom
**Uncorrected energy**: -23.4 eV per formula unit

=====

The following is a PBE-GGA calculation of an optimized crystal structure of TaCuGe3, from Alexandria.

```
TaCuGe3
1.0
5.0062 0.0000 0.0000
0.0000 5.0062 0.0000
0.0000 0.0000 5.0062
Ta Cu Ge
1 1 3
direct
0.0000 0.0000 0.0000
0.5000 0.5000 0.5000
0.0000 0.0000 0.5000
0.0000 0.5000 0.0000
0.5000 0.0000 0.0000
```

Results
**Formation energy**: 821 meV per atom
**ΔE to the lowest computed polymorph**: 0.0 meV per atom
**Uncorrected energy**: -25.7 eV per formula unit

=====

The following is a PBE-GGA calculation of an optimized crystal structure of TaCu2Ge2, from Alexandria.

```
TaCu2Ge2
1.0
7.1817 0.0000 0.0000
0.0000 7.1817 0.0000
0.0000 0.0000 2.9230
Ta Cu Ge
2 4 4
direct
0.0000 0.0000 0.0000
0.5000 0.5000 0.0000
0.1370 0.3630 0.5000
0.3630 0.8630 0.5000
0.6370 0.1370 0.5000
0.8630 0.6370 0.5000
0.1587 0.6587 0.0000
0.3413 0.1587 0.0000
0.6587 0.8413 0.0000
0.8413 0.3413 0.0000
```

Results
**Formation energy**: 85 meV per atom
**Uncorrected energy**: -28.9 eV per formula unit

=====

The following is a PBE-GGA calculation of an optimized crystal structure of TaCuTcGe2, from Alexandria.

```
TaCuTcGe2
1.0
4.9993 0.0000 0.0000
0.0000 4.9993 0.0000
0.0000 0.0000 4.7721
Ta Cu Tc Ge
1 1 1 2
direct
0.0000 0.0000 0.0000
0.5000 0.5000 0.5000
0.0000 0.0000 0.5000
0.0000 0.5000 0.0000
0.5000 0.0000 0.0000
```

Results
**Formation energy**: 1260 meV per atom
**Uncorrected energy**: -29.2 eV per formula unit

=====

The following is a PBE-GGA calculation of an optimized crystal structure of Ta2CuTcGe, from Alexandria.

```
Ta2CuTcGe
1.0
4.7695 0.0000 0.0000
0.0000 4.7695 0.0000
0.0000 0.0000 4.1718
Ta Cu Tc Ge
2 1 1 1
direct
0.0000 0.5000 0.0000
0.5000 0.0000 0.0000
0.0000 0.0000 0.5000
0.5000 0.5000 0.5000
0.0000 0.0000 0.0000
```

Results
**Formation energy**: 1124 meV per atom
**Uncorrected energy**: -37.2 eV per formula unit

=====

The following is a PBE-GGA calculation of an optimized crystal structure of TaCu2GeW, from Alexandria.

```
TaCu2GeW
1.0
4.2663 0.0000 0.0000
0.0000 4.2663 0.0000
0.0000 0.0000 4.8646
Ta Cu Ge W
1 2 1 1
direct
0.0000 0.0000 0.0000
0.0000 0.5000 0.5000
0.5000 0.0000 0.5000
0.0000 0.0000 0.5000
0.5000 0.5000 0.0000
```

Results
**Formation energy**: 1201 meV per atom
**ΔE to the lowest computed polymorph**: 0.0 meV per atom
**Uncorrected energy**: -31.6 eV per formula unit

=====

The following is a PBE-GGA calculation of an optimized crystal structure of TaCu2GeW, from Alexandria.

```
TaCu2GeW
1.0
4.7326 0.0000 0.0000
0.0000 4.7326 0.0000
0.0000 0.0000 4.7694
Ta Cu Ge W
1 2 1 1
direct
0.0000 0.0000 0.0000
0.0000 0.5000 0.5000
0.5000 0.0000 0.5000
0.5000 0.5000 0.0000
0.0000 0.0000 0.5000
```

Results
**Formation energy**: 1522 meV per atom
**ΔE to the lowest computed polymorph**: 320.6 meV per atom
**Uncorrected energy**: -30.0 eV per formula unit

=====

The following is a PBE-GGA calculation of an optimized crystal structure of TbCuGe2, from Alexandria.

```
TbCuGe2
1.0
2.0697 1.1950 5.0908
-2.0697 1.1950 5.0908
0.0000 -2.3899 5.0908
Tb Cu Ge
1 1 2
direct
0.0000 0.0000 0.0000
0.5000 0.5000 0.5000
0.2207 0.2207 0.2207
0.7793 0.7793 0.7793
```

Results
**Formation energy**: -423 meV per atom
**Uncorrected energy**: -19.7 eV per formula unit

=====

The following is a PBE-GGA calculation of an optimized crystal structure of TbCuGe, from Alexandria.

```
TbCuGe
1.0
4.2247 0.0000 0.0000
-2.1123 3.6587 0.0000
0.0000 0.0000 3.7747
Tb Cu Ge
1 1 1
direct
0.0000 0.0000 0.0000
0.3333 0.6667 0.5000
0.6667 0.3333 0.5000
```

Results
**Formation energy**: -652 meV per atom
**Uncorrected energy**: -15.3 eV per formula unit

=====

The following is a PBE-GGA calculation of an optimized crystal structure of TbCu2Ge2, from Alexandria.

```
TbCu2Ge2
1.0
2.8836 -2.8840 0.0000
2.8836 2.8840 0.0000
-2.8551 0.0000 5.1415
Tb Cu Ge
1 2 2
direct
0.0000 0.0000 0.0000
0.2476 0.7524 0.5000
0.7524 0.2476 0.5000
0.3809 0.3809 0.7591
0.6191 0.6191 0.2409
```

Results
**Formation energy**: -514 meV per atom
**Uncorrected energy**: -24.6 eV per formula unit

=====

The following is a PBE-GGA calculation of an optimized crystal structure of Tb3Cu2Ge3, from Alexandria.

```
Tb3Cu2Ge3
1.0
2.1190 -5.3011 0.0000
2.1190 5.3011 0.0000
0.0000 0.0000 14.2257
Tb Cu Ge
6 4 6
direct
0.0838 0.9162 0.6126
0.0838 0.9162 0.8874
0.3660 0.6340 0.7500
0.6340 0.3660 0.2500
0.9162 0.0838 0.1126
0.9162 0.0838 0.3874
0.2117 0.7883 0.0931
0.2117 0.7883 0.4069
0.7883 0.2117 0.5931
0.7883 0.2117 0.9069
0.3375 0.6625 0.2500
0.3858 0.6142 0.5414
0.3858 0.6142 0.9586
0.6142 0.3858 0.0414
0.6142 0.3858 0.4586
0.6625 0.3375 0.7500
```

Results
**Formation energy**: -691 meV per atom
**Uncorrected energy**: -41.5 eV per formula unit

=====

The following is a PBE-GGA calculation of an optimized crystal structure of TbCu4Ge2, from Alexandria.

```
TbCu4Ge2
1.0
7.4055 0.0000 0.0000
0.0000 7.4055 0.0000
0.0000 0.0000 3.9678
Tb Cu Ge
2 8 4
direct
0.0000 0.0000 0.0000
0.5000 0.5000 0.5000
0.0900 0.3466 0.5000
0.1534 0.5900 0.0000
0.3466 0.0900 0.5000
0.4100 0.8466 0.0000
0.5900 0.1534 0.0000
0.6534 0.9100 0.5000
0.8466 0.4100 0.0000
0.9100 0.6534 0.5000
0.2165 0.7835 0.5000
0.2835 0.2835 0.0000
0.7165 0.7165 0.0000
0.7835 0.2165 0.5000
```

Results
**Formation energy**: -330 meV per atom
**ΔE to the lowest computed polymorph**: 0.0 meV per atom
**Uncorrected energy**: -32.6 eV per formula unit

=====

The following is a PBE-GGA calculation of an optimized crystal structure of Tb2CuGe4, from Alexandria.

```
Tb2CuGe4
1.0
4.0302 0.0000 0.0000
0.0000 2.0478 8.4798
0.0000 -2.0478 8.4798
Tb Cu Ge
2 1 4
direct
0.0000 0.0000 0.0000
0.5000 0.2079 0.2079
0.0000 0.7815 0.7815
0.0000 0.3645 0.3645
0.0000 0.6425 0.6425
0.5000 0.5513 0.5513
0.5000 0.8639 0.8639
```

Results
**Formation energy**: -595 meV per atom
**Uncorrected energy**: -36.0 eV per formula unit

=====

The following is a PBE-GGA calculation of an optimized crystal structure of Tb3CuGe3, from Alexandria.

```
Tb3CuGe3
1.0
5.3374 -2.1414 0.0000
5.3374 2.1414 0.0000
-4.8468 0.0000 13.0791
Tb Cu Ge
6 2 6
direct
0.0328 0.0328 0.3818
0.1003 0.1003 0.9224
0.2437 0.2437 0.2262
0.7563 0.7563 0.7738
0.8997 0.8997 0.0776
0.9672 0.9672 0.6182
0.2585 0.2585 0.6040
0.7415 0.7415 0.3960
0.3622 0.3622 0.4545
0.3771 0.3771 0.9240
0.4657 0.4657 0.7662
0.5343 0.5343 0.2338
0.6229 0.6229 0.0760
0.6378 0.6378 0.5455
```

Results
**Formation energy**: -777 meV per atom
**Uncorrected energy**: -37.3 eV per formula unit

=====

The following is a PBE-GGA calculation of an optimized crystal structure of TbCuGe, from Alexandria.

```
TbCuGe
1.0
0.0000 3.1216 3.1216
3.1216 0.0000 3.1216
3.1216 3.1216 0.0000
Tb Cu Ge
1 1 1
direct
0.0000 0.0000 0.0000
0.2500 0.2500 0.2500
0.5000 0.5000 0.5000
```

Results
**Formation energy**: -580 meV per atom
**Uncorrected energy**: -15.1 eV per formula unit

=====

The following is a PBE-GGA calculation of an optimized crystal structure of Tb4CuGe8, from Alexandria.

```
Tb4CuGe8
1.0
3.9801 0.0000 0.0000
0.0000 4.0889 0.0000
0.0000 0.0000 16.6099
Tb Cu Ge
4 1 8
direct
0.0000 0.0000 0.0000
0.0000 0.5000 0.4889
0.5000 0.0000 0.7893
0.5000 0.5000 0.2829
0.0000 0.5000 0.7139
0.0000 0.0000 0.3334
0.0000 0.0000 0.6285
0.0000 0.5000 0.1382
0.0000 0.5000 0.8563
0.5000 0.0000 0.1447
0.5000 0.0000 0.4325
0.5000 0.5000 0.6283
0.5000 0.5000 0.9523
```

Results
**Formation energy**: -604 meV per atom
**Uncorrected energy**: -67.4 eV per formula unit

=====

The following is a PBE-GGA calculation of an optimized crystal structure of Tb2CuGe6, from Alexandria.

```
Tb2CuGe6
1.0
4.1006 0.0000 0.0000
0.0000 2.0329 10.7222
0.0000 -2.0329 10.7222
Tb Cu Ge
2 1 6
direct
0.0000 0.0000 0.0000
0.0000 0.3362 0.3362
0.5000 0.5561 0.5561
0.0000 0.6165 0.6165
0.0000 0.7333 0.7333
0.5000 0.1165 0.1165
0.5000 0.2336 0.2336
0.5000 0.4474 0.4474
0.5000 0.8751 0.8751
```

Results
**Formation energy**: -433 meV per atom
**Uncorrected energy**: -45.0 eV per formula unit

=====

The following is a PBE-GGA calculation of an optimized crystal structure of Tb2Cu5Ge4, from Alexandria.

```
Tb2Cu5Ge4
1.0
0.0000 4.6903 7.2315
2.7850 0.0000 7.2315
2.7850 4.6903 0.0000
Tb Cu Ge
2 5 4
direct
0.1443 0.1443 0.8557
0.8557 0.8557 0.1443
0.0000 0.0000 0.5000
0.2500 0.2500 0.2500
0.5000 0.5000 0.0000
0.5000 0.5000 0.5000
0.7500 0.7500 0.7500
0.2214 0.5060 0.4940
0.4940 0.7786 0.2214
0.5060 0.2214 0.7786
0.7786 0.4940 0.5060
```

Results
**Formation energy**: -280 meV per atom
**Uncorrected energy**: -51.3 eV per formula unit

=====

The following is a PBE-GGA calculation of an optimized crystal structure of Tb2Cu3Ge, from Alexandria.

```
Tb2Cu3Ge
1.0
3.5166 0.0000 0.0000
0.0000 4.2465 0.0000
0.0000 0.0000 7.5871
Tb Cu Ge
2 3 1
direct
0.0000 0.0000 0.0000
0.0000 0.5000 0.4813
0.5000 0.0000 0.3278
0.5000 0.0000 0.6573
0.5000 0.5000 0.1548
0.5000 0.5000 0.8217
```

Results
**Formation energy**: -428 meV per atom
**Uncorrected energy**: -28.7 eV per formula unit

=====

The following is a PBE-GGA calculation of an optimized crystal structure of Tb2CuGe, from Alexandria.

```
Tb2CuGe
1.0
4.9149 0.0000 0.0000
0.0000 4.9149 0.0000
0.0000 0.0000 3.6556
Tb Cu Ge
2 1 1
direct
0.0000 0.5000 0.0000
0.5000 0.0000 0.0000
0.0000 0.0000 0.5000
0.5000 0.5000 0.5000
```

Results
**Formation energy**: -478 meV per atom
**Uncorrected energy**: -19.9 eV per formula unit

=====

The following is a PBE-GGA calculation of an optimized crystal structure of TbCuGe, from Alexandria.

```
TbCuGe
1.0
4.2638 0.0000 0.0000
-2.1319 3.6925 0.0000
0.0000 0.0000 7.3587
Tb Cu Ge
2 2 2
direct
0.0000 0.0000 0.0000
0.0000 0.0000 0.5000
0.3333 0.6667 0.2735
0.6667 0.3333 0.7735
0.3333 0.6667 0.7301
0.6667 0.3333 0.2301
```

Results
**Formation energy**: -692 meV per atom
**Uncorrected energy**: -15.4 eV per formula unit

=====

The following is a PBE-GGA calculation of an optimized crystal structure of Tb2CuGe, from Alexandria.

```
Tb2CuGe
1.0
5.8929 0.0000 0.0000
0.0000 4.1906 0.0000
-2.7463 0.0000 7.3816
Tb Cu Ge
4 2 2
direct
0.2138 0.2500 0.4161
0.2161 0.2500 0.9392
0.7839 0.7500 0.0608
0.7862 0.7500 0.5839
0.3704 0.7500 0.2175
0.6296 0.2500 0.7825
0.3376 0.7500 0.7090
0.6624 0.2500 0.2910
```

Results
**Formation energy**: -569 meV per atom
**Uncorrected energy**: -20.3 eV per formula unit

=====

The following is a PBE-GGA calculation of an optimized crystal structure of TbCu4Ge, from Alexandria.

```
TbCu4Ge
1.0
0.0000 3.5902 3.5902
3.5902 0.0000 3.5902
3.5902 3.5902 0.0000
Tb Cu Ge
1 4 1
direct
0.0000 0.0000 0.0000
0.3752 0.3752 0.3752
0.3752 0.3752 0.8743
0.3752 0.8743 0.3752
0.8743 0.3752 0.3752
0.7500 0.7500 0.7500
```

Results
**Formation energy**: -174 meV per atom
**Uncorrected energy**: -26.7 eV per formula unit

=====

The following is a PBE-GGA calculation of an optimized crystal structure of TbCuGe2, from Alexandria.

```
TbCuGe2
1.0
-2.0322 2.0322 9.2792
2.0322 -2.0322 9.2792
2.0322 2.0322 -9.2792
Tb Cu Ge
2 2 4
direct
0.1196 0.1196 0.0000
0.8804 0.8804 0.0000
0.2500 0.7500 0.5000
0.7500 0.2500 0.5000
0.0000 0.5000 0.5000
0.3261 0.3261 0.0000
0.5000 0.0000 0.5000
0.6739 0.6739 0.0000
```

Results
**Formation energy**: -480 meV per atom
**Uncorrected energy**: -19.9 eV per formula unit

=====

The following is a PBE-GGA calculation of an optimized crystal structure of Tb2Cu2Ge3, from Alexandria.

```
Tb2Cu2Ge3
1.0
2.1318 -9.0563 0.0000
2.1318 9.0563 0.0000
0.0000 0.0000 6.7440
Tb Cu Ge
4 4 6
direct
0.0511 0.9489 0.7500
0.1577 0.8423 0.2500
0.8423 0.1577 0.7500
0.9489 0.0511 0.2500
0.3074 0.6926 0.0606
0.3074 0.6926 0.4394
0.6926 0.3074 0.5606
0.6926 0.3074 0.9394
0.2219 0.7781 0.7500
0.4349 0.5651 0.5611
0.4349 0.5651 0.9389
0.5651 0.4349 0.0611
0.5651 0.4349 0.4389
0.7781 0.2219 0.2500
```

Results
**Formation energy**: -633 meV per atom
**Uncorrected energy**: -35.7 eV per formula unit